No. 1
A plane-wave DFT calculation with PBE-GGA was carried out for a relaxed structure of Tb3DyY4S8.

Calculated values
ΔE_f (raw) (eV per atom): -2.00

a = 7.842 Å, b = 7.842 Å, c = 7.842 Å
α = 120.00°, β = 120.00°, γ = 90.00°
Fractional positions:
Dy (0.000, 0.500, 0.000)
S (0.750, 0.250, 0.501)
S (0.750, 0.751, 0.501)
S (0.250, 0.249, 0.499)
S (0.249, 0.250, 0.999)
S (0.751, 0.750, 0.001)
S (0.250, 0.750, 0.499)
S (0.250, 0.750, 0.001)
S (0.750, 0.250, 0.999)
Y (0.500, 0.000, 0.000)
Y (0.500, 0.000, 0.500)
Y (0.000, 0.000, 0.000)
Y (0.000, 0.000, 0.500)
Tb (0.500, 0.500, 0.500)
Tb (0.500, 0.500, 0.000)
Tb (0.000, 0.500, 0.500)



No. 2
A plane-wave DFT calculation with PBE-GGA was carried out for a relaxed structure of Y2CuBr.

Calculated values
ΔE_f (raw) (eV per atom): -0.59
E above lowest polymorph (eV/atom): 0.0444

a = 5.855 Å, b = 4.069 Å, c = 4.065 Å
α = 90.00°, β = 90.00°, γ = 90.00°
Fractional positions:
Y (0.500, 0.375, 0.376)
Y (0.000, 0.875, 0.874)
Br (0.000, 0.375, 0.374)
Cu (0.500, 0.875, 0.877)



No. 3
A plane-wave DFT calculation with PBE-GGA was carried out for a relaxed structure of Pm5Al2Se12.

Calculated values
ΔE_f (raw) (eV per atom): -1.36

a = 7.532 Å, b = 8.663 Å, c = 9.153 Å
α = 101.61°, β = 90.00°, γ = 115.77°
Fractional positions:
Al (0.751, 0.000, 0.000)
Al (0.249, 0.000, 0.000)
Se (0.489, 0.977, 0.807)
Se (0.073, 0.652, 0.926)
Se (0.982, 0.965, 0.812)
Se (0.601, 0.708, 0.437)
Se (0.578, 0.652, 0.926)
Se (0.927, 0.348, 0.074)
Se (0.018, 0.035, 0.188)
Se (0.894, 0.292, 0.563)
Se (0.399, 0.292, 0.563)
Se (0.511, 0.023, 0.193)
Se (0.422, 0.348, 0.074)
Se (0.106, 0.708, 0.437)
Pm (0.321, 0.642, 0.184)
Pm (0.293, 0.585, 0.652)
Pm (0.679, 0.358, 0.816)
Pm (0.000, 0.000, 0.500)
Pm (0.707, 0.415, 0.348)



No. 4
A plane-wave DFT calculation with PBE-GGA was carried out for a relaxed structure of SmYTm2S6.

Calculated values
ΔE_f (raw) (eV per atom): -2.05

a = 6.908 Å, b = 6.908 Å, c = 7.329 Å
α = 61.88°, β = 61.88°, γ = 59.99°
Fractional positions:
S (0.129, 0.398, 0.748)
S (0.398, 0.724, 0.748)
S (0.908, 0.620, 0.247)
S (0.620, 0.225, 0.247)
S (0.724, 0.129, 0.748)
S (0.225, 0.908, 0.247)
Y (0.315, 0.315, 0.055)
Sm (0.812, 0.812, 0.565)
Tm (0.516, 0.516, 0.452)
Tm (0.014, 0.014, 0.958)



No. 5
A plane-wave DFT calculation with PBE-GGA was carried out for a relaxed structure of Fe3AgCl.

Calculated values
ΔE_f (raw) (eV per atom): 0.70
E above lowest polymorph (eV/atom): 0.0000

a = 4.161 Å, b = 4.161 Å, c = 4.161 Å
α = 90.00°, β = 90.00°, γ = 90.00°
Fractional positions:
Fe (0.000, 0.500, 0.000)
Fe (0.000, 0.000, 0.500)
Fe (0.500, 0.000, 0.000)
Cl (0.000, 0.000, 0.000)
Ag (0.500, 0.500, 0.500)



No. 6
A plane-wave DFT calculation with PBE-GGA was carried out for a relaxed structure of NiP3Pb.

Calculated values
Formation energy from the elements (eV/atom): 0.496
E above lowest polymorph (eV/atom): 0.0000

a = 4.558 Å, b = 4.558 Å, c = 4.558 Å
α = 90.00°, β = 90.00°, γ = 90.00°
Fractional positions:
P (0.500, 0.000, 0.000)
P (0.000, 0.000, 0.500)
P (0.000, 0.500, 0.000)
Pb (0.500, 0.500, 0.500)
Ni (0.000, 0.000, 0.000)



Values of total moment, in order: 0.000, 0.000, 0.000, 0.000, 1.207, 0.000, all in μB/atom.